{"formula": "Y2Zr30O63", "functional": "GGA-PBE", "state": "relaxed", "cell": [[10.260, 0.000, 0.000], [0.080, 10.262, 0.000], [0.028, 0.004, 10.414]], "species": ["Y", "Y", "Zr", "Zr", "Zr", "Zr", "Zr", "Zr", "Zr", "Zr", "Zr", "Zr", "Zr", "Zr", "Zr", "Zr", "Zr", "Zr", "Zr", "Zr", "Zr", "Zr", "Zr", "Zr", "Zr", "Zr", "Zr", "Zr", "Zr", "Zr", "Zr", "Zr", "O", "O", "O", "O", "O", "O", "O", "O", "O", "O", "O", "O", "O", "O", "O", "O", "O", "O", "O", "O", "O", "O", "O", "O", "O", "O", "O", "O", "O", "O", "O", "O", "O", "O", "O", "O", "O", "O", "O", "O", "O", "O", "O", "O", "O", "O", "O", "O", "O", "O", "O", "O", "O", "O", "O", "O", "O", "O", "O", "O", "O", "O", "O"], "fractional_positions": [[0.000, 0.000, 0.000], [0.258, 0.751, 0.499], [0.005, 0.750, 0.747], [0.009, 0.498, 0.997], [0.009, 0.501, 0.497], [0.010, 0.001, 0.499], [0.011, 0.250, 0.746], [0.013, 0.255, 0.252], [0.013, 0.748, 0.249], [0.250, 0.994, 0.748], [0.251, 0.747, 0.998], [0.256, 0.506, 0.248], [0.257, 0.499, 0.746], [0.257, 0.995, 0.248], [0.258, 0.246, 0.500], [0.259, 0.246, 0.996], [0.494, 0.263, 0.257], [0.498, 0.989, 0.985], [0.502, 0.744, 0.747], [0.504, 0.750, 0.246], [0.506, 0.496, 0.998], [0.507, 0.246, 0.749], [0.508, 0.999, 0.494], [0.511, 0.500, 0.501], [0.755, 0.747, 0.498], [0.756, 0.750, 0.997], [0.756, 0.996, 0.747], [0.759, 0.249, 0.495], [0.760, 0.500, 0.745], [0.761, 0.257, 0.986], [0.761, 0.500, 0.248], [0.769, 0.985, 0.258], [0.125, 0.881, 0.611], [0.126, 0.619, 0.387], [0.129, 0.126, 0.396], [0.129, 0.374, 0.600], [0.129, 0.621, 0.140], [0.129, 0.870, 0.855], [0.130, 0.371, 0.099], [0.130, 0.878, 0.353], [0.131, 0.622, 0.646], [0.131, 0.622, 0.893], [0.134, 0.126, 0.145], [0.137, 0.127, 0.889], [0.137, 0.373, 0.851], [0.138, 0.128, 0.641], [0.138, 0.868, 0.111], [0.140, 0.371, 0.350], [0.372, 0.132, 0.350], [0.375, 0.866, 0.888], [0.376, 0.380, 0.145], [0.377, 0.367, 0.647], [0.381, 0.626, 0.101], [0.383, 0.116, 0.848], [0.383, 0.616, 0.854], [0.384, 0.624, 0.349], [0.384, 0.876, 0.643], [0.384, 0.877, 0.136], [0.388, 0.124, 0.598], [0.388, 0.366, 0.897], [0.388, 0.375, 0.396], [0.389, 0.883, 0.382], [0.390, 0.617, 0.609], [0.408, 0.132, 0.102], [0.622, 0.351, 0.102], [0.623, 0.876, 0.847], [0.628, 0.126, 0.905], [0.629, 0.117, 0.370], [0.629, 0.620, 0.146], [0.629, 0.625, 0.898], [0.631, 0.374, 0.600], [0.632, 0.878, 0.597], [0.634, 0.617, 0.397], [0.635, 0.376, 0.848], [0.636, 0.894, 0.102], [0.637, 0.127, 0.640], [0.638, 0.629, 0.645], [0.638, 0.860, 0.351], [0.639, 0.369, 0.351], [0.832, 0.114, 0.107], [0.870, 0.872, 0.887], [0.876, 0.869, 0.642], [0.877, 0.368, 0.641], [0.877, 0.617, 0.097], [0.878, 0.628, 0.348], [0.879, 0.130, 0.847], [0.880, 0.625, 0.850], [0.881, 0.368, 0.141], [0.882, 0.861, 0.145], [0.883, 0.621, 0.599], [0.883, 0.877, 0.395], [0.884, 0.122, 0.599], [0.884, 0.126, 0.351], [0.887, 0.375, 0.392], [0.888, 0.377, 0.888]], "magmom_total_mub_per_cell": 0.0, "relative_energy_mev_per_atom": 0}